Record 1
# PuMgTcO6, relaxed, DFT PBE
# calculated volume: 12.4 A^3/atom
# DFT total energy: -8.38 eV per atom
# energy relative to the elements, uncorrected: -2.150 eV per atom
# total magnetic moment: 5.02 μB per formula unit
data_PuMgTcO6
_chemical_formula_sum 'Pu2 Mg2 Tc2 O12'
_space_group_name_H-M_alt 'P -3 1 c'
_space_group_IT_number 163
_space_group_name_Hall '-P 3 2c'
_cell_length_a 5.3205
_cell_length_b 5.3205
_cell_length_c 9.0976
_cell_angle_alpha 90.00
_cell_angle_beta 90.00
_cell_angle_gamma 120.00
loop_
_atom_site_label
_atom_site_type_symbol
_atom_site_fract_x
_atom_site_fract_y
_atom_site_fract_z
Pu1 Pu 0.3333 0.6667 0.2500
Mg1 Mg 0.0000 0.0000 0.0000
Tc1 Tc 0.3333 0.6667 0.7500
O1 O 0.0233 0.3527 0.6313



Record 2
# PuThMgO6, relaxed, DFT PBE
# calculated volume: 14.3 A^3/atom
# DFT total energy: -8.85 eV per atom
# energy relative to the elements, uncorrected: -2.950 eV per atom
# total magnetic moment: 2.00 μB per formula unit
data_PuThMgO6
_chemical_formula_sum 'Pu2 Th2 Mg2 O12'
_space_group_name_H-M_alt 'P -3 1 c'
_space_group_IT_number 163
_space_group_name_Hall '-P 3 2c'
_cell_length_a 5.4142
_cell_length_b 5.4142
_cell_length_c 10.1185
_cell_angle_alpha 90.00
_cell_angle_beta 90.00
_cell_angle_gamma 120.00
loop_
_atom_site_label
_atom_site_type_symbol
_atom_site_fract_x
_atom_site_fract_y
_atom_site_fract_z
Pu1 Pu 0.3333 0.6667 0.2500
Th1 Th 0.0000 0.0000 0.0000
Mg1 Mg 0.3333 0.6667 0.7500
O1 O 0.0069 0.3528 0.1376



Record 3
# PuMgTlO6, relaxed, DFT PBE
# calculated volume: 13.5 A^3/atom
# DFT total energy: -7.21 eV per atom
# energy relative to the elements, uncorrected: -1.870 eV per atom
# total magnetic moment: 1.00 μB per formula unit
data_PuMgTlO6
_chemical_formula_sum 'Pu2 Mg2 Tl2 O12'
_space_group_name_H-M_alt 'P 42 n m'
_space_group_IT_number 102
_cell_length_a 4.977
_cell_length_b 4.977
_cell_length_c 9.807
_cell_angle_alpha 90.00
_cell_angle_beta 90.00
_cell_angle_gamma 90.00
loop_
_space_group_symop_operation_xyz
'x,y,z'
'-y+1/2,x+1/2,z+1/2'
'-x,-y,z'
'y+1/2,-x+1/2,z+1/2'
'-x+1/2,y+1/2,z+1/2'
'y,x,z'
'x+1/2,-y+1/2,z+1/2'
'-y,-x,z'
loop_
_atom_site_label
_atom_site_type_symbol
_atom_site_fract_x
_atom_site_fract_y
_atom_site_fract_z
Pu1 Pu 0.000 0.000 0.000
Mg1 Mg 0.000 0.000 0.665
Tl1 Tl 0.000 0.000 0.334
O1 O 0.182 0.182 0.840
O2 O 0.200 0.200 0.148
O3 O 0.212 0.212 0.508



Record 4
# Pu3MgTl2O12, relaxed, DFT PBE
# calculated volume: 17.5 A^3/atom
# DFT total energy: -8.20 eV per atom
# energy relative to the elements, uncorrected: -2.150 eV per atom
# total magnetic moment: 4.00 μB per formula unit
data_Pu3MgTl2O12
_chemical_formula_sum 'Pu9 Mg3 Tl6 O36'
_space_group_name_H-M_alt 'R -3 m'
_space_group_IT_number 166
_space_group_name_Hall '-R 3 2"'
_cell_length_a 7.8607
_cell_length_b 7.8607
_cell_length_c 17.7012
_cell_angle_alpha 90.00
_cell_angle_beta 90.00
_cell_angle_gamma 120.00
loop_
_atom_site_label
_atom_site_type_symbol
_atom_site_fract_x
_atom_site_fract_y
_atom_site_fract_z
Pu1 Pu 0.0000 0.5000 0.0000
Mg1 Mg 0.0000 0.0000 0.5000
Tl1 Tl 0.0000 0.0000 0.1121
O1 O 0.0715 0.5358 0.3585
O2 O 0.0796 0.5398 0.1011



Record 5
# PuMgTl2O8, relaxed, DFT PBE
# calculated volume: 14.7 A^3/atom
# DFT total energy: -6.49 eV per atom
# energy relative to the elements, uncorrected: -1.461 eV per atom
# total magnetic moment: 0.20 μB per formula unit
data_PuMgTl2O8
_chemical_formula_sum 'Pu2 Mg2 Tl4 O16'
_space_group_name_H-M_alt 'C m m m'
_space_group_IT_number 65
_space_group_name_Hall '-C 2 2'
_cell_length_a 7.060
_cell_length_b 7.598
_cell_length_c 6.571
_cell_angle_alpha 90.00
_cell_angle_beta 90.00
_cell_angle_gamma 90.00
loop_
_atom_site_label
_atom_site_type_symbol
_atom_site_fract_x
_atom_site_fract_y
_atom_site_fract_z
Pu1 Pu 0.000 0.000 0.000
Mg1 Mg 0.000 0.000 0.500
Tl1 Tl 0.000 0.500 0.259
O1 O 0.000 0.167 0.221
O2 O 0.198 0.500 0.000
O3 O 0.210 0.500 0.500



Record 6
# Pu2MgTl3O9, relaxed, DFT PBE
# calculated volume: 15.3 A^3/atom
# DFT total energy: -7.36 eV per atom
# energy relative to the elements, uncorrected: -1.896 eV per atom
# total magnetic moment: 3.00 μB per formula unit
data_Pu2MgTl3O9
_chemical_formula_sum 'Pu2 Mg1 Tl3 O9'
_space_group_name_H-M_alt 'P -3 m 1'
_space_group_IT_number 164
_space_group_name_Hall '-P 3 2"'
_cell_length_a 5.9939
_cell_length_b 5.9939
_cell_length_c 7.3607
_cell_angle_alpha 90.00
_cell_angle_beta 90.00
_cell_angle_gamma 120.00
loop_
_atom_site_label
_atom_site_type_symbol
_atom_site_fract_x
_atom_site_fract_y
_atom_site_fract_z
Pu1 Pu 0.3333 0.6667 0.1713
Mg1 Mg 0.0000 0.0000 0.5000
Tl1 Tl 0.0000 0.0000 0.0000
Tl2 Tl 0.3333 0.6667 0.6554
O1 O 0.0000 0.5000 0.0000
O2 O 0.1739 0.3478 0.3247



Record 7
# TmPuMg2O6, relaxed, DFT PBE
# calculated volume: 12.6 A^3/atom
# DFT total energy: -8.10 eV per atom
# energy relative to the elements, uncorrected: -2.922 eV per atom
# total magnetic moment: 3.00 μB per formula unit
data_TmPuMg2O6
_chemical_formula_sum 'Tm3 Pu3 Mg6 O18'
_space_group_name_H-M_alt 'R 3'
_space_group_IT_number 146
_space_group_name_Hall 'R 3'
_cell_length_a 5.4605
_cell_length_b 5.4605
_cell_length_c 14.6414
_cell_angle_alpha 90.00
_cell_angle_beta 90.00
_cell_angle_gamma 120.00
loop_
_atom_site_label
_atom_site_type_symbol
_atom_site_fract_x
_atom_site_fract_y
_atom_site_fract_z
Tm1 Tm 0.0000 0.0000 0.0000
Pu1 Pu 0.0000 0.0000 0.4927
Mg1 Mg 0.0000 0.0000 0.2836
Mg2 Mg 0.0000 0.0000 0.7908
O1 O 0.0065 0.3079 0.8926
O2 O 0.0192 0.7146 0.3953